# Y3Ho6Tm2Th GGA-PBE relaxed
data_Y3Ho6Tm2Th
_chemical_formula_sum 'Y3 Ho6 Tm2 Th1'
_symmetry_space_group_name_H-M 'P 1'
_symmetry_Int_Tables_number 1
_cell_length_a 6.123
_cell_length_b 6.123
_cell_length_c 11.742
_cell_angle_alpha 94.99
_cell_angle_beta 94.99
_cell_angle_gamma 119.97
loop_
_symmetry_equiv_pos_as_xyz
'x,y,z'
loop_
_atom_site_label
_atom_site_type_symbol
_atom_site_fract_x
_atom_site_fract_y
_atom_site_fract_z
Ho1 Ho 0.753 0.753 0.248
Ho2 Ho 0.414 0.083 0.248
Ho3 Ho 0.247 0.247 0.752
Ho4 Ho 0.917 0.586 0.752
Ho5 Ho 0.586 0.917 0.752
Ho6 Ho 0.083 0.414 0.248
Y1 Y 0.500 0.500 0.500
Y2 Y 0.167 0.833 0.500
Y3 Y 0.833 0.167 0.500
Th1 Th 0.000 0.000 0.000
Tm1 Tm 0.333 0.667 0.000
Tm2 Tm 0.667 0.333 0.000
# D(E_F) in states/eV/f.u.: 16.33
# Crystal system: monoclinic
# Calculated formation energy in kJ per mole of atoms: 2.5
# Total DFT energy (no corrections) in eV per cell: -62.914


# YHoTm2Th GGA-PBE relaxed
data_YHoTm2Th
_chemical_formula_sum 'Y2 Ho2 Tm4 Th2'
_symmetry_space_group_name_H-M 'P 1'
_symmetry_Int_Tables_number 1
_cell_length_a 6.354
_cell_length_b 8.382
_cell_length_c 6.273
_cell_angle_alpha 96.98
_cell_angle_beta 90.00
_cell_angle_gamma 90.00
loop_
_symmetry_equiv_pos_as_xyz
'x,y,z'
loop_
_atom_site_label
_atom_site_type_symbol
_atom_site_fract_x
_atom_site_fract_y
_atom_site_fract_z
Th1 Th 0.556 0.000 0.250
Th2 Th 0.444 0.000 0.750
Ho1 Ho 0.000 0.000 0.500
Ho2 Ho 0.000 0.000 0.000
Tm1 Tm 0.699 0.689 0.786
Tm2 Tm 0.301 0.689 0.286
Tm3 Tm 0.301 0.311 0.214
Tm4 Tm 0.699 0.311 0.714
Y1 Y 0.185 0.500 0.750
Y2 Y 0.815 0.500 0.250
# D(E_F) in states/eV/f.u.: 6.40
# Crystal system: monoclinic
# Calculated formation energy in kJ per mole of atoms: 32.1
# Total DFT energy (no corrections) in eV per cell: -51.487


# YHoTm5Th2 GGA-PBE relaxed
data_YHoTm5Th2
_chemical_formula_sum 'Y2 Ho2 Tm10 Th4'
_symmetry_space_group_name_H-M 'P 1'
_symmetry_Int_Tables_number 1
_cell_length_a 8.709
_cell_length_b 8.709
_cell_length_c 9.803
_cell_angle_alpha 116.37
_cell_angle_beta 116.37
_cell_angle_gamma 90.00
loop_
_symmetry_equiv_pos_as_xyz
'x,y,z'
loop_
_atom_site_label
_atom_site_type_symbol
_atom_site_fract_x
_atom_site_fract_y
_atom_site_fract_z
Th1 Th 0.119 0.381 0.000
Th2 Th 0.881 0.619 0.000
Th3 Th 0.381 0.881 0.000
Th4 Th 0.619 0.119 0.000
Y1 Y 0.250 0.250 0.500
Y2 Y 0.750 0.750 0.500
Tm1 Tm 0.650 0.150 0.720
Tm2 Tm 0.850 0.930 0.280
Tm3 Tm 0.500 0.500 0.000
Tm4 Tm 0.350 0.850 0.280
Tm5 Tm 0.570 0.650 0.720
Tm6 Tm 0.000 0.000 0.000
Tm7 Tm 0.070 0.570 0.720
Tm8 Tm 0.430 0.350 0.280
Tm9 Tm 0.150 0.070 0.720
Tm10 Tm 0.930 0.430 0.280
Ho1 Ho 0.250 0.750 0.500
Ho2 Ho 0.750 0.250 0.500
# D(E_F) in states/eV/f.u.: 12.02
# Crystal system: tetragonal
# Calculated formation energy in kJ per mole of atoms: 33.6
# Total DFT energy (no corrections) in eV per cell: -90.211